1.
Compound: Ac7Sn3Ru2
Source: Alexandria via LeMat-Bulk
Functional: GGA-PBE
Structure: relaxed

Summary:
- ΔE_f: -350 meV/atom
- Calculated total energy: -5.293 eV per atom

a = 5.629 Å, b = 28.067 Å, c = 5.435 Å
α = 90.00°, β = 90.00°, γ = 90.00°
Space group Cmmm (No. 65)
Symmetry-distinct sites (fractional):
1 Ac 0.000 0.000 0.000 [2 per cell]
2 Ac 0.000 0.096 0.500 [4 per cell]
3 Ac 0.000 0.209 0.000 [4 per cell]
4 Ac 0.000 0.390 0.000 [4 per cell]
5 Sn 0.000 0.308 0.500 [4 per cell]
6 Sn 0.000 0.500 0.500 [2 per cell]
7 Ru 0.000 0.104 0.000 [4 per cell]

***

2.
Compound: AcSnRu
Source: Alexandria via LeMat-Bulk
Functional: GGA-PBE
Structure: relaxed

Summary:
- ΔE_f: -228 meV/atom
- Calculated total energy: -6.024 eV per atom

a = 6.901 Å, b = 6.901 Å, c = 6.901 Å
α = 90.00°, β = 90.00°, γ = 90.00°
Space group F-43m (No. 216)
Symmetry-distinct sites (fractional):
1 Ac 0.000 0.000 0.000 [4 per cell]
2 Sn 0.000 0.000 0.500 [4 per cell]
3 Ru 0.250 0.250 0.750 [4 per cell]

***

3.
Compound: AcSnRu
Source: Alexandria via LeMat-Bulk
Functional: GGA-PBE
Structure: relaxed

Summary:
- ΔE_f: -469 meV/atom
- Calculated total energy: -6.265 eV per atom

a = 12.079 Å, b = 4.838 Å, c = 5.529 Å
α = 90.00°, β = 102.09°, γ = 90.00°
Space group C2/m (No. 12)
Symmetry-distinct sites (fractional):
1 Ac 0.128 0.000 0.318 [4 per cell]
2 Sn 0.096 0.500 0.825 [4 per cell]
3 Ru 0.195 0.000 0.857 [4 per cell]

***

4.
Compound: Ac3Sn7Ru2
Source: Alexandria via LeMat-Bulk
Functional: GGA-PBE
Structure: relaxed

Summary:
- ΔE_f: -537 meV/atom
- Calculated total energy: -5.445 eV per atom

a = 4.824 Å, b = 4.808 Å, c = 14.443 Å
α = 90.00°, β = 99.61°, γ = 90.00°
Space group P2/m (No. 10)
Symmetry-distinct sites (fractional):
1 Ac 0.000 0.000 0.000 [1 per cell]
2 Ac 0.317 0.500 0.635 [2 per cell]
3 Sn 0.087 0.500 0.176 [2 per cell]
4 Sn 0.219 0.000 0.438 [2 per cell]
5 Sn 0.414 0.000 0.825 [2 per cell]
6 Sn 0.500 0.500 0.000 [1 per cell]
7 Ru 0.125 0.000 0.254 [2 per cell]

***

> The highest calculated total energy belongs to which entry?

Ac7Sn3Ru2

***

> What is the ΔE_f in the third record?

-469 meV/atom

***

> What is the calculated total energy in the first record?

-5.293 eV per atom